! In2PtCl PBE relaxed; values from VASP
! Uncorrected formation energy   -0.45 eV per atom
! E_tot   -3.795 eV/atom
! SG   No. 99
! Distance to the lowest polymorph of the same formula   0.0433 eV per atom
&SYSTEM
  ibrav = 0, nat = 4, ntyp = 3
/
ATOMIC_SPECIES
Cl 35.45 Cl.upf
Pt 195.08 Pt.upf
In 114.82 In.upf
CELL_PARAMETERS angstrom
3.701 0.000 0.000
0.000 3.701 0.000
0.000 0.000 7.711
ATOMIC_POSITIONS crystal
Cl 0.500 0.500 0.774
Pt 0.000 0.000 0.329
In 0.000 0.000 0.982
In 0.500 0.500 0.415


! In2PtCl PBE relaxed; values from VASP
! Uncorrected formation energy   -0.32 eV per atom
! E_tot   -3.661 eV/atom
! SG   No. 122
! Distance to the lowest polymorph of the same formula   0.1777 eV per atom
&SYSTEM
  ibrav = 0, nat = 8, ntyp = 3
/
ATOMIC_SPECIES
Cl 35.45 Cl.upf
Pt 195.08 Pt.upf
In 114.82 In.upf
CELL_PARAMETERS angstrom
6.485 0.000 0.000
0.000 6.485 0.000
3.242 3.242 6.277
ATOMIC_POSITIONS crystal
Cl 0.500 0.500 0.000
Cl 0.250 0.750 0.500
Pt 0.000 0.000 0.000
Pt 0.750 0.250 0.500
In 0.674 0.125 0.250
In 0.076 0.625 0.250
In 0.375 0.326 0.750
In 0.875 0.924 0.750


! In2PtCl PBE relaxed; values from VASP
! Uncorrected formation energy   0.08 eV per atom
! E_tot   -3.258 eV/atom
! SG   No. 216
! Distance to the lowest polymorph of the same formula   0.5810 eV per atom
&SYSTEM
  ibrav = 0, nat = 4, ntyp = 3
/
ATOMIC_SPECIES
Cl 35.45 Cl.upf
Pt 195.08 Pt.upf
In 114.82 In.upf
CELL_PARAMETERS angstrom
-4.383 -1.746 1.647
-0.481 -1.455 4.756
-2.736 2.716 3.179
ATOMIC_POSITIONS crystal
Cl 0.500 0.500 0.500
Pt 0.750 0.750 0.750
In 0.000 0.000 0.000
In 0.250 0.250 0.250


Question: Number 2 is which compound?
Answer: In2PtCl